[1]
# PBE-GGA LiNbCu3, optimized geometry
# Energy above the most stable polymorph in this dataset in eV per atom: 0.552
# DFT total energy in Ry per atom: -0.2728
# Magnetic moment in μB/f.u.: 0.00
# Formation enthalpy at 0 K in meV/atom: 1143
data_LiNbCu3
_symmetry_space_group_name_H-M 'P m -3 m'
_symmetry_Int_Tables_number 221
_symmetry_space_group_name_Hall '-P 4 2 3'
_cell_length_a 4.8541
_cell_length_b 4.8541
_cell_length_c 4.8541
_cell_angle_alpha 90.00
_cell_angle_beta 90.00
_cell_angle_gamma 90.00
loop_
_atom_site_label
_atom_site_fract_x
_atom_site_fract_y
_atom_site_fract_z
Li1 0.0000 0.0000 0.0000
Nb1 0.5000 0.5000 0.5000
Cu1 0.0000 0.5000 0.5000

[2]
# PBE-GGA Li5Nb2Cu5O12, optimized geometry
# DFT total energy in Ry per atom: -0.4503
# Magnetic moment in μB/f.u.: 0.88
# ΔE_f (raw) in eV/atom: -1.556
data_Li5Nb2Cu5O12
_symmetry_space_group_name_H-M 'C 1 2 1'
_symmetry_Int_Tables_number 5
_symmetry_space_group_name_Hall 'C 2y'
_cell_length_a 5.7682
_cell_length_b 8.6495
_cell_length_c 9.8528
_cell_angle_alpha 90.00
_cell_angle_beta 90.42
_cell_angle_gamma 90.00
loop_
_atom_site_label
_atom_site_fract_x
_atom_site_fract_y
_atom_site_fract_z
Li1 0.0000 0.0000 0.0000
Li2 0.2307 0.8238 0.2418
Li3 0.2351 0.9906 0.7522
Nb1 0.0000 0.1683 0.5000
Nb2 0.0000 0.6625 0.0000
Cu1 0.0000 0.3172 0.0000
Cu2 0.0000 0.4977 0.5000
Cu3 0.0000 0.8290 0.5000
Cu4 0.2437 0.1536 0.2468
O1 0.0958 0.9992 0.3664
O2 0.1016 0.8128 0.8627
O3 0.1031 0.3287 0.3688
O4 0.1208 0.4842 0.8813
O5 0.1804 0.6623 0.4046
O6 0.1829 0.1602 0.9019

[3]
# PBE-GGA Li5Nb2Cu3O10, optimized geometry
# DFT total energy in Ry per atom: -0.4694
# Magnetic moment in μB/f.u.: 0.00
# ΔE_f (raw) in eV/atom: -1.808
data_Li5Nb2Cu3O10
_symmetry_space_group_name_H-M 'P -1'
_symmetry_Int_Tables_number 2
_symmetry_space_group_name_Hall '-P 1'
_cell_length_a 5.2851
_cell_length_b 5.8629
_cell_length_c 7.6873
_cell_angle_alpha 99.69
_cell_angle_beta 105.95
_cell_angle_gamma 107.19
loop_
_atom_site_label
_atom_site_fract_x
_atom_site_fract_y
_atom_site_fract_z
Li1 0.0000 0.0000 0.0000
Li2 0.0942 0.1566 0.6913
Li3 0.2772 0.6415 0.1309
Nb1 0.3901 0.7706 0.7987
Cu1 0.2009 0.3835 0.4054
Cu2 0.5000 0.0000 0.5000
O1 0.0402 0.6340 0.8480
O2 0.1686 0.8551 0.5678
O3 0.2820 0.9780 0.2506
O4 0.3656 0.1570 0.9468
O5 0.4208 0.4672 0.6776

[4]
# PBE-GGA LiTi3NbCu3O12, optimized geometry
# DFT total energy in Ry per atom: -0.5478
# Magnetic moment in μB/f.u.: 2.98
# ΔE_f (raw) in eV/atom: -2.080
data_LiTi3NbCu3O12
_symmetry_space_group_name_H-M 'P 1'
_symmetry_Int_Tables_number 1
_symmetry_space_group_name_Hall 'P 1'
_cell_length_a 6.4564
_cell_length_b 6.4952
_cell_length_c 6.4971
_cell_angle_alpha 109.29
_cell_angle_beta 109.32
_cell_angle_gamma 109.33
loop_
_atom_site_label
_atom_site_fract_x
_atom_site_fract_y
_atom_site_fract_z
Li1 0.0000 0.0000 0.0000
Ti1 0.4597 0.4206 0.4020
Ti2 0.9281 0.4085 0.8959
Ti3 0.9446 0.9135 0.3997
Nb1 0.4288 0.8999 0.8777
Cu1 0.4267 0.3953 0.8807
Cu2 0.4275 0.8973 0.3756
Cu3 0.9315 0.3913 0.3746
O1 0.0558 0.1987 0.6963
O2 0.1063 0.3755 0.1780
O3 0.1063 0.7605 0.5624
O4 0.2307 0.0727 0.3588
O5 0.2329 0.7141 0.0061
O6 0.4073 0.1988 0.0572
O7 0.4402 0.5817 0.6968
O8 0.6187 0.7157 0.3879
O9 0.6201 0.0753 0.7456
O10 0.7496 0.4033 0.5646
O11 0.7557 0.0194 0.1790
O12 0.7974 0.5818 0.0554